Version P
# SnSb2TeI

Crystalline SnSb2TeI at its relaxed geometry (PBE, Alexandria via LeMat-Bulk).

Geometry as POSCAR:
```
SnSb2TeI
1.0
5.791 0.000 0.000
0.000 5.791 0.000
0.000 0.000 5.619
Sn Sb Te I
1 2 1 1
Cartesian
0.000 0.000 0.000
0.000 2.896 0.000
2.896 0.000 0.000
0.000 0.000 2.809
2.896 2.896 2.809
```

Version Q
# SnSb2TeI

Crystalline SnSb2TeI at its relaxed geometry (PBE, Alexandria via LeMat-Bulk).

Geometry as POSCAR:
```
SnSb2TeI
1.0
5.792 0.000 0.000
0.000 5.792 0.000
0.000 0.000 5.647
Sn Sb Te I
1 2 1 1
Cartesian
0.000 0.000 0.000
0.000 2.896 0.000
2.896 0.000 0.000
2.896 2.896 2.824
0.000 0.000 2.824
```

Most favorable first, least favorable last: version P, version Q